*P*
Entry from Alexandria via LeMat-Bulk: a relaxed structure of Ca2Cd2Bi (PBE).

The structure in POSCAR format:
```
Ca2Cd2Bi
1.0
-8.470 -0.891 -2.263
1.847 -7.690 -3.887
-0.673 -1.791 3.223
Cd Ca Bi
4 4 2
Cartesian
-1.598 -7.113 -4.286 Cd
-0.306 -3.035 -1.750 Cd
-5.025 -1.468 -1.865 Cd
-6.317 -5.546 -4.401 Cd
-6.721 -4.126 -1.516 Ca
-4.534 -7.838 -3.123 Ca
-2.761 -2.534 0.195 Ca
-0.575 -6.246 -1.411 Ca
0.000 0.000 0.000 Bi
-3.312 -4.290 -3.075 Bi
```

## Properties
Symmetry = No. 127

***

*Q*
Entry from Alexandria via LeMat-Bulk: a relaxed structure of Ca2Cd2Bi (PBE).

The structure in POSCAR format:
```
Ca2Cd2Bi
1.0
6.096 0.000 0.000
0.000 6.096 0.000
3.048 3.048 4.430
Cd Ca Bi
2 2 1
Cartesian
3.048 3.048 1.344 Cd
6.096 6.096 3.086 Cd
3.048 6.096 2.215 Ca
6.096 3.048 2.215 Ca
0.000 0.000 0.000 Bi
```

## Properties
Symmetry = No. 139

***

Of them, the most stable is *P* and the least stable is *Q*.

***

*P*
Entry from Alexandria via LeMat-Bulk: a relaxed structure of Ca2Cd2Bi (PBE).

The structure in POSCAR format:
```
Ca2Cd2Bi
1.0
8.836 0.000 0.000
0.000 8.836 0.000
0.000 0.000 3.953
Cd Ca Bi
4 4 2
Cartesian
7.733 3.315 1.977 Cd
3.315 1.103 1.977 Cd
1.103 5.521 1.977 Cd
5.521 7.733 1.977 Cd
1.518 2.900 0.000 Ca
7.318 5.936 0.000 Ca
5.936 1.518 0.000 Ca
2.900 7.318 0.000 Ca
0.000 0.000 0.000 Bi
4.418 4.418 0.000 Bi
```

## Properties
Symmetry = No. 127

***

*Q*
Entry from Alexandria via LeMat-Bulk: a relaxed structure of Ca2Cd2Bi (PBE).

The structure in POSCAR format:
```
Ca2Cd2Bi
1.0
4.066 0.000 0.000
0.000 4.066 0.000
2.033 2.033 9.414
Cd Ca Bi
2 2 1
Cartesian
4.066 2.033 4.707 Cd
2.033 4.066 4.707 Cd
2.033 2.033 1.840 Ca
4.066 4.066 7.573 Ca
0.000 0.000 0.000 Bi
```

## Properties
Symmetry = No. 139

***

Of them, the most stable is *Q* and the least stable is *P*.